Run w
Below is Zn2TcIr after structural relaxation, with properties calculated at the GGA-PBEsol level.

Geometry as extended XYZ:
```
4
Lattice="2.6891 0.0000 0.0000 0.0000 4.7067 -0.0395 0.0000 -1.7459 4.3711" Properties=species:S:1:pos:R:3 pbc="T T T"
Tc 1.3446 1.4804 2.1658
Zn 0.0000 2.3534 -0.0197
Zn 0.0000 -0.8729 2.1856
Ir 1.3446 0.0000 0.0000
```

## Properties
Size of the total moment: 0.0004 μB/atom
Density: 12.68 g/cm³
Calculated volume: 55.1 Å³ per cell

Run x
Below is Zn2TcIr after structural relaxation, with properties calculated at the GGA-PBEsol level.

Geometry as extended XYZ:
```
4
Lattice="-0.1092 -1.2217 2.4647 0.3198 -2.4555 -1.2030 7.2326 0.6316 0.6336" Properties=species:S:1:pos:R:3 pbc="T T T"
Zn 7.2186 0.6303 0.6324
Zn 1.9374 -1.6786 0.7913
Ir 3.6589 0.3195 0.3205
Tc 5.4773 -1.3695 1.1014
```

## Properties
Size of the total moment: 0.0000 μB/atom
Density: 12.66 g/cm³
Calculated volume: 55.2 Å³ per cell

Stability ranking, top entry: run x; the second entry is 307 meV/atom less favorable.

Run w
Below is TlIr4 after structural relaxation, with properties calculated at the GGA-PBEsol level.

Geometry as extended XYZ:
```
5
Lattice="5.0351 0.0000 0.0000 -1.6784 4.7471 0.0000 -1.6784 -2.3736 4.1111" Properties=species:S:1:pos:R:3 pbc="T T T"
Ir 2.5175 0.0000 0.0000
Ir 0.8392 1.1868 2.0556
Ir -0.8392 2.3736 0.0000
Ir -0.8392 -1.1868 2.0556
Tl 0.0000 0.0000 0.0000
```

## Properties
Size of the total moment: 0.0007 μB/atom
Density: 16.45 g/cm³
Calculated volume: 98.3 Å³ per cell

Run x
Below is TlIr4 after structural relaxation, with properties calculated at the GGA-PBEsol level.

Geometry as extended XYZ:
```
5
Lattice="3.9260 0.0000 0.0000 1.9630 4.4244 0.0000 1.9630 0.0000 4.4244" Properties=species:S:1:pos:R:3 pbc="T T T"
Tl 0.0000 0.0000 0.0000
Ir 1.9630 1.8239 0.9531
Ir 5.8890 2.6006 3.4713
Ir 3.9260 3.4713 1.8239
Ir 3.9260 0.9531 2.6006
```

## Properties
Size of the total moment: 0.0000 μB/atom
Density: 21.03 g/cm³
Calculated volume: 76.9 Å³ per cell

Stability ranking, top entry: run x; the second entry is 1675 meV/atom less favorable.

Run w
Below is TlIr2 after structural relaxation, with properties calculated at the GGA-PBEsol level.

Geometry as extended XYZ:
```
3
Lattice="2.9137 0.0000 0.0000 -1.4568 2.5233 0.0000 0.0000 0.0000 6.7428" Properties=species:S:1:pos:R:3 pbc="T T T"
Tl 0.0000 0.0000 0.0000
Ir 1.4568 0.8411 4.3869
Ir 0.0000 1.6822 2.3559
```

## Properties
Size of the total moment: 0.0003 μB/atom
Density: 19.72 g/cm³
Calculated volume: 49.6 Å³ per cell

Run x
Below is TlIr2 after structural relaxation, with properties calculated at the GGA-PBEsol level.

Geometry as extended XYZ:
```
6
Lattice="-1.1802 -3.3179 2.9326 4.0064 2.1707 0.4877 -2.3915 3.6917 3.2144" Properties=species:S:1:pos:R:3 pbc="T T T"
Ir -1.2449 1.2804 4.5284
Ir 1.6797 1.2641 2.1062
Ir -1.1957 1.8459 1.6072
Ir 0.0000 0.0000 0.0000
Tl -0.0492 -0.5654 2.9212
Tl 0.4840 3.1100 3.7134
```

## Properties
Size of the total moment: 0.0000 μB/atom
Density: 19.74 g/cm³
Calculated volume: 99.1 Å³ per cell

Stability ranking, top entry: run w; the second entry is 146 meV/atom less favorable.